Compound: K2TiCrP3O12
Source: Alexandria
Functional: meta-GGA SCAN
Structure: PBEsol geometry

The space group is P2_13 (No. 198) and the conventional cell measures 9.8178, 9.8178 and 9.8178 Å, with angles of 90.00, 90.00 and 90.00 degrees. Symmetry generates all atoms from K at (0.0448, 0.4552, 0.5448), K at (0.1843, 0.1843, 0.1843), Ti at (0.1630, 0.8370, 0.3370), Cr at (0.1069, 0.6069, 0.8931), P at (0.0239, 0.2943, 0.8755), O at (0.0141, 0.4430, 0.8265), O at (0.0156, 0.9539, 0.2726), O at (0.0503, 0.6998, 0.7233) and O at (0.1032, 0.6744, 0.2468).

The value obtained for the formation energy from raw total energies is -2.73 eV per atom. The crystal system is cubic.



Compound: NbBiH3
Source: Alexandria
Functional: meta-GGA SCAN
Structure: PBEsol geometry

The space group is Pm-3m (No. 221) and the conventional cell measures 4.0200, 4.0200 and 4.0200 Å, with angles of 90.00, 90.00 and 90.00 degrees. Symmetry generates all atoms from Nb at (0.0000, 0.0000, 0.0000), Bi at (0.5000, 0.5000, 0.5000) and H at (0.0000, 0.5000, 0.5000).

The crystal system is cubic.



Compound: Y2MgAl
Source: Alexandria
Functional: meta-GGA SCAN
Structure: PBEsol geometry

The space group is R-3m (No. 166, hexagonal axes) and the conventional cell measures 3.5132, 3.5132 and 29.7173 Å, with angles of 90.00, 90.00 and 120.00 degrees. Symmetry generates all atoms from Y at (0.0000, 0.0000, 0.2423), Mg at (0.0000, 0.0000, 0.0000) and Al at (0.0000, 0.0000, 0.5000).

The crystal system is trigonal. The calculation puts the formation energy from the elements at -105 meV/atom.



Compound: CsRbNbAs2
Source: Alexandria
Functional: meta-GGA SCAN
Structure: PBEsol geometry

The space group is P4/mmm (No. 123) and the conventional cell measures 5.0984, 5.0984 and 5.8632 Å, with angles of 90.00, 90.00 and 90.00 degrees. Symmetry generates all atoms from Cs at (0.0000, 0.0000, 0.0000), Rb at (0.5000, 0.5000, 0.0000), Nb at (0.0000, 0.0000, 0.5000) and As at (0.0000, 0.5000, 0.5000).

The crystal system is tetragonal. The calculation puts the formation energy from the elements at 46 meV/atom.



Compound: AlZn2SbIr
Source: Alexandria
Functional: meta-GGA SCAN
Structure: PBEsol geometry

The space group is P4/mmm (No. 123) and the conventional cell measures 4.4505, 4.4505 and 5.2319 Å, with angles of 90.00, 90.00 and 90.00 degrees. Symmetry generates all atoms from Al at (0.0000, 0.0000, 0.0000), Zn at (0.0000, 0.5000, 0.0000), Sb at (0.0000, 0.0000, 0.5000) and Ir at (0.5000, 0.5000, 0.5000).

The value obtained for the formation energy from raw total energies is 1.18 eV per atom. The crystal system is tetragonal.



Compound: RbTcAg3
Source: Alexandria
Functional: meta-GGA SCAN
Structure: PBEsol geometry

The space group is Pm-3m (No. 221) and the conventional cell measures 5.2757, 5.2757 and 5.2757 Å, with angles of 90.00, 90.00 and 90.00 degrees. Symmetry generates all atoms from Rb at (0.0000, 0.0000, 0.0000), Tc at (0.5000, 0.5000, 0.5000) and Ag at (0.0000, 0.0000, 0.5000).

The crystal system is cubic. The calculation puts the formation energy from the elements at 2139 meV/atom.



Compound: NbAlC2
Source: Alexandria
Functional: meta-GGA SCAN
Structure: PBEsol geometry

The space group is I-42d (No. 122) and the conventional cell measures 4.7327, 4.7327 and 9.4301 Å, with angles of 90.00, 90.00 and 90.00 degrees. Symmetry generates all atoms from Nb at (0.0000, 0.0000, 0.0000), Al at (0.0000, 0.0000, 0.5000) and C at (0.2473, 0.2500, 0.6250).

The crystal system is tetragonal. The calculation puts the formation energy from the elements at 42 meV/atom.



Compound: Ga3ReW
Source: Alexandria
Functional: meta-GGA SCAN
Structure: PBEsol geometry

The space group is Pm-3m (No. 221) and the conventional cell measures 4.7759, 4.7759 and 4.7759 Å, with angles of 90.00, 90.00 and 90.00 degrees. Symmetry generates all atoms from Ga at (0.0000, 0.0000, 0.5000), Re at (0.5000, 0.5000, 0.5000) and W at (0.0000, 0.0000, 0.0000).

The crystal system is cubic. The calculation puts the formation energy from the elements at 1636 meV/atom.



Result set for spin magnetization: 0.16 0.49 0.03 0.12 0.18 0.77 0.00 1.06 μB per atom, one per record in the order listed.
Result set for uncorrected energy: -835.74 -115.19 -206.49 -131.83 -137.26 -139.20 -243.64 -181.64 eV for the cell shown, one per record in the order listed.